No. 1
Be2SeBr | PBE | optimized geometry

Cell lengths 4.1972, 3.3298, 5.6012 Å; angles 90.00, 95.43, 90.00 degrees
Space group P2/m (No. 10)
Inequivalent atoms, fractional coordinates:
Be  0.1756  0.0000  0.3435 x2
Se  0.5000  0.5000  0.5000 x1
Br  0.0000  0.5000  0.0000 x1

Calculated values
The value obtained for the formation energy (no corrections) is 0.08 eV/atom. The value obtained for the density of states at the Fermi level is 1.34 states/eV per cell. The calculation puts the total DFT energy (no corrections) at -3.072 eV per atom. The polymorph energy (0 for the lowest one) is 0.378 eV/atom.

No. 2
LuCuPdPb | PBE | optimized geometry

Cell lengths 6.7688, 6.7688, 6.7688 Å; angles 90.00, 90.00, 90.00 degrees
Space group F-43m (No. 216)
Inequivalent atoms, fractional coordinates:
Lu  0.0000  0.0000  0.0000 x4
Cu  0.2500  0.2500  0.7500 x4
Pd  0.2500  0.2500  0.2500 x4
Pb  0.0000  0.0000  0.5000 x4

Calculated values
The value obtained for the density of states at the Fermi level is 10.13 states/eV per cell. The calculation puts the total DFT energy (no corrections) at -4.813 eV per atom.